## w
Here is a relaxed MgTeI2Cl crystal from the Alexandria database. Energies are from PBE.

Unit cell a=5.550 b=5.550 c=5.833 alpha=90.00 beta=90.00 gamma=90.00
Atoms (fractional coordinates):
I (0.000, 0.500, 0.000)
I (0.500, 0.000, 0.000)
Mg (0.500, 0.500, 0.500)
Te (0.000, 0.000, 0.500)
Cl (0.000, 0.000, 0.000)

Output
Fermi-level density of states	2.98	states/eV/f.u.


## x
Here is a relaxed MgTeI2Cl crystal from the Alexandria database. Energies are from PBE.

Unit cell a=5.525 b=5.525 c=5.908 alpha=90.00 beta=90.00 gamma=90.00
Atoms (fractional coordinates):
I (0.000, 0.500, 0.000)
I (0.500, 0.000, 0.000)
Mg (0.000, 0.000, 0.000)
Te (0.000, 0.000, 0.500)
Cl (0.500, 0.500, 0.500)

Output
Fermi-level density of states	6.60	states/eV/f.u.


Which structure loses on stability? w does.


## w
Here is a relaxed MgTe2ICl crystal from the Alexandria database. Energies are from PBE.

Unit cell a=5.526 b=5.526 c=5.549 alpha=90.00 beta=90.00 gamma=90.00
Atoms (fractional coordinates):
I (0.000, 0.000, 0.500)
Mg (0.500, 0.500, 0.500)
Te (0.000, 0.500, 0.000)
Te (0.500, 0.000, 0.000)
Cl (0.000, 0.000, 0.000)

Output
Fermi-level density of states	4.36	states/eV/f.u.


## x
Here is a relaxed MgTe2ICl crystal from the Alexandria database. Energies are from PBE.

Unit cell a=5.783 b=5.783 c=5.939 alpha=90.00 beta=90.00 gamma=90.00
Atoms (fractional coordinates):
I (0.000, 0.000, 0.000)
Mg (0.000, 0.000, 0.500)
Te (0.000, 0.500, 0.000)
Te (0.500, 0.000, 0.000)
Cl (0.500, 0.500, 0.500)

Output
Fermi-level density of states	7.26	states/eV/f.u.


Which structure loses on stability? x does.


## w
Here is a relaxed MgTlICl2 crystal from the Alexandria database. Energies are from PBE.

Unit cell a=4.485 b=8.456 c=8.849 alpha=90.00 beta=90.00 gamma=105.38
Atoms (fractional coordinates):
Mg (0.000, 0.000, 0.000)
Mg (0.000, 0.000, 0.500)
Tl (0.710, 0.421, 0.750)
Tl (0.290, 0.579, 0.250)
I (0.489, 0.978, 0.750)
I (0.511, 0.022, 0.250)
Cl (0.143, 0.286, 0.984)
Cl (0.857, 0.714, 0.016)
Cl (0.143, 0.286, 0.516)
Cl (0.857, 0.714, 0.484)

Output
Fermi-level density of states	0.00	states/eV/f.u.


## x
Here is a relaxed MgTlICl2 crystal from the Alexandria database. Energies are from PBE.

Unit cell a=4.995 b=4.995 c=5.993 alpha=90.00 beta=90.00 gamma=90.00
Atoms (fractional coordinates):
I (0.000, 0.000, 0.500)
Tl (0.500, 0.500, 0.500)
Mg (0.000, 0.000, 0.000)
Cl (0.000, 0.500, 0.000)
Cl (0.500, 0.000, 0.000)

Output
Fermi-level density of states	0.00	states/eV/f.u.


Which structure loses on stability? w does.


## w
Here is a relaxed MnIN2Cl crystal from the Alexandria database. Energies are from PBE.

Unit cell a=3.878 b=3.878 c=6.656 alpha=90.00 beta=90.00 gamma=90.00
Atoms (fractional coordinates):
I (0.000, 0.000, 0.500)
N (0.000, 0.500, 0.000)
N (0.500, 0.000, 0.000)
Mn (0.500, 0.500, 0.500)
Cl (0.000, 0.000, 0.000)

Output
Fermi-level density of states	3.92	states/eV/f.u.


## x
Here is a relaxed MnIN2Cl crystal from the Alexandria database. Energies are from PBE.

Unit cell a=3.756 b=3.756 c=5.672 alpha=90.00 beta=90.00 gamma=90.00
Atoms (fractional coordinates):
I (0.000, 0.000, 0.500)
N (0.000, 0.500, 0.000)
N (0.500, 0.000, 0.000)
Mn (0.000, 0.000, 0.000)
Cl (0.500, 0.500, 0.500)

Output
Fermi-level density of states	3.21	states/eV/f.u.


Which structure loses on stability? w does.


## w
Here is a relaxed NaMnICl2 crystal from the Alexandria database. Energies are from PBE.

Unit cell a=4.922 b=4.922 c=6.023 alpha=90.00 beta=90.00 gamma=90.00
Atoms (fractional coordinates):
I (0.000, 0.000, 0.500)
Na (0.500, 0.500, 0.500)
Mn (0.000, 0.000, 0.000)
Cl (0.000, 0.500, 0.000)
Cl (0.500, 0.000, 0.000)


## x
Here is a relaxed NaMnICl2 crystal from the Alexandria database. Energies are from PBE.

Unit cell a=4.510 b=7.683 c=10.184 alpha=106.48 beta=90.00 gamma=90.00
Atoms (fractional coordinates):
Na (0.750, 0.257, 0.578)
Na (0.250, 0.743, 0.422)
Mn (0.250, 0.954, 0.837)
Mn (0.750, 0.046, 0.163)
I (0.750, 0.400, 0.305)
I (0.250, 0.600, 0.695)
Cl (0.750, 0.092, 0.919)
Cl (0.250, 0.908, 0.081)
Cl (0.250, 0.084, 0.648)
Cl (0.750, 0.916, 0.352)

Output
Fermi-level density of states	0.00	states/eV/f.u.


Which structure loses on stability? w does.


## w
Here is a relaxed MnP2ICl crystal from the Alexandria database. Energies are from PBE.

Unit cell a=4.516 b=4.516 c=4.722 alpha=90.00 beta=90.00 gamma=90.00
Atoms (fractional coordinates):
I (0.500, 0.500, 0.500)
P (0.000, 0.500, 0.000)
P (0.500, 0.000, 0.000)
Mn (0.000, 0.000, 0.000)
Cl (0.000, 0.000, 0.500)

Output
Fermi-level density of states	4.11	states/eV/f.u.


## x
Here is a relaxed MnP2ICl crystal from the Alexandria database. Energies are from PBE.

Unit cell a=5.205 b=5.205 c=5.259 alpha=90.00 beta=90.00 gamma=90.00
Atoms (fractional coordinates):
I (0.000, 0.000, 0.000)
P (0.000, 0.500, 0.000)
P (0.500, 0.000, 0.000)
Mn (0.500, 0.500, 0.500)
Cl (0.000, 0.000, 0.500)

Output
Fermi-level density of states	5.30	states/eV/f.u.


Which structure loses on stability? x does.


## w
Here is a relaxed RbMnICl2 crystal from the Alexandria database. Energies are from PBE.

Unit cell a=5.506 b=8.347 c=9.025 alpha=104.16 beta=90.00 gamma=90.00
Atoms (fractional coordinates):
Rb (0.750, 0.274, 0.646)
Rb (0.250, 0.726, 0.354)
Mn (0.250, 0.921, 0.849)
Mn (0.750, 0.079, 0.151)
I (0.750, 0.407, 0.259)
I (0.250, 0.593, 0.741)
Cl (0.750, 0.962, 0.882)
Cl (0.250, 0.038, 0.118)
Cl (0.250, 0.065, 0.659)
Cl (0.750, 0.935, 0.341)

Output
Fermi-level density of states	0.00	states/eV/f.u.


## x
Here is a relaxed RbMnICl2 crystal from the Alexandria database. Energies are from PBE.

Unit cell a=5.127 b=5.127 c=5.856 alpha=90.00 beta=90.00 gamma=90.00
Atoms (fractional coordinates):
I (0.000, 0.000, 0.500)
Mn (0.000, 0.000, 0.000)
Rb (0.500, 0.500, 0.500)
Cl (0.000, 0.500, 0.000)
Cl (0.500, 0.000, 0.000)


Which structure loses on stability? x does.


## w
Here is a relaxed MnTe2ICl crystal from the Alexandria database. Energies are from PBE.

Unit cell a=4.980 b=4.980 c=5.454 alpha=90.00 beta=90.00 gamma=90.00
Atoms (fractional coordinates):
I (0.000, 0.000, 0.500)
Te (0.000, 0.500, 0.000)
Te (0.500, 0.000, 0.000)
Mn (0.000, 0.000, 0.000)
Cl (0.500, 0.500, 0.500)

Output
Fermi-level density of states	7.54	states/eV/f.u.


## x
Here is a relaxed MnTe2ICl crystal from the Alexandria database. Energies are from PBE.

Unit cell a=5.499 b=5.499 c=5.520 alpha=90.00 beta=90.00 gamma=90.00
Atoms (fractional coordinates):
I (0.000, 0.000, 0.500)
Te (0.000, 0.500, 0.000)
Te (0.500, 0.000, 0.000)
Mn (0.500, 0.500, 0.500)
Cl (0.000, 0.000, 0.000)

Output
Fermi-level density of states	4.29	states/eV/f.u.


Which structure loses on stability? x does.


## w
Here is a relaxed MnTlICl2 crystal from the Alexandria database. Energies are from PBE.

Unit cell a=5.025 b=5.025 c=5.916 alpha=90.00 beta=90.00 gamma=90.00
Atoms (fractional coordinates):
I (0.000, 0.000, 0.500)
Tl (0.500, 0.500, 0.500)
Mn (0.000, 0.000, 0.000)
Cl (0.000, 0.500, 0.000)
Cl (0.500, 0.000, 0.000)


## x
Here is a relaxed MnTlICl2 crystal from the Alexandria database. Energies are from PBE.

Unit cell a=5.357 b=8.126 c=9.052 alpha=103.36 beta=90.00 gamma=90.00
Atoms (fractional coordinates):
Mn (0.250, 0.927, 0.847)
Mn (0.750, 0.073, 0.153)
Tl (0.750, 0.282, 0.620)
Tl (0.250, 0.718, 0.380)
I (0.750, 0.410, 0.271)
I (0.250, 0.590, 0.729)
Cl (0.750, 0.963, 0.883)
Cl (0.250, 0.037, 0.117)
Cl (0.250, 0.072, 0.653)
Cl (0.750, 0.928, 0.347)

Output
Fermi-level density of states	0.00	states/eV/f.u.


Which structure loses on stability? w does.


## w
Here is a relaxed MoICl2 crystal from the Alexandria database. Energies are from PBE.

Unit cell a=7.205 b=7.205 c=7.076 alpha=59.39 beta=59.39 gamma=90.00
Atoms (fractional coordinates):
I (0.000, 0.000, 0.000)
I (0.750, 0.250, 0.500)
Mo (0.500, 0.500, 0.000)
Mo (0.250, 0.750, 0.500)
Cl (0.469, 0.125, 0.250)
Cl (0.281, 0.625, 0.250)
Cl (0.375, 0.531, 0.750)
Cl (0.875, 0.719, 0.750)

Output
Fermi-level density of states	4.08	states/eV/f.u.


## x
Here is a relaxed MoICl2 crystal from the Alexandria database. Energies are from PBE.

Unit cell a=5.106 b=5.106 c=5.106 alpha=60.00 beta=60.00 gamma=60.00
Atoms (fractional coordinates):
I (0.500, 0.500, 0.500)
Mo (0.000, 0.000, 0.000)
Cl (0.250, 0.250, 0.250)
Cl (0.750, 0.750, 0.750)

Output
Fermi-level density of states	1.78	states/eV/f.u.


Which structure loses on stability? x does.


## w
Here is a relaxed MoICl3 crystal from the Alexandria database. Energies are from PBE.

Unit cell a=6.822 b=6.817 c=10.125 alpha=88.38 beta=58.86 gamma=60.03
Atoms (fractional coordinates):
Mo (0.103, 0.906, 0.685)
Mo (0.431, 0.242, 0.685)
I (0.667, 0.624, 0.786)
I (0.341, 0.767, 0.113)
Cl (0.338, 0.098, 0.506)
Cl (0.058, 0.657, 0.871)
Cl (0.586, 0.186, 0.867)
Cl (0.107, 0.133, 0.871)
Cl (0.553, 0.490, 0.506)
Cl (0.947, 0.880, 0.505)


## x
Here is a relaxed MoICl3 crystal from the Alexandria database. Energies are from PBE.

Unit cell a=6.898 b=6.257 c=9.042 alpha=76.44 beta=73.73 gamma=107.01
Atoms (fractional coordinates):
Mo (0.799, 0.096, 0.370)
Mo (0.930, 0.727, 0.108)
I (0.786, 0.606, 0.888)
I (0.435, 0.755, 0.590)
Cl (0.941, 0.216, 0.550)
Cl (0.718, 0.978, 0.139)
Cl (0.114, 0.447, 0.135)
Cl (0.619, 0.378, 0.339)
Cl (0.010, 0.843, 0.343)
Cl (0.252, 0.027, 0.928)

Output
Fermi-level density of states	3.99	states/eV/f.u.


Which structure loses on stability? w does.


## w
Here is a relaxed Mo2ICl crystal from the Alexandria database. Energies are from PBE.

Unit cell a=4.480 b=4.480 c=8.905 alpha=75.43 beta=75.43 gamma=90.00
Atoms (fractional coordinates):
I (0.000, 0.000, 0.000)
I (0.750, 0.250, 0.500)
Mo (0.535, 0.125, 0.250)
Mo (0.215, 0.625, 0.250)
Mo (0.375, 0.465, 0.750)
Mo (0.875, 0.785, 0.750)
Cl (0.500, 0.500, 0.000)
Cl (0.250, 0.750, 0.500)

Output
Fermi-level density of states	3.13	states/eV/f.u.


## x
Here is a relaxed Mo2ICl crystal from the Alexandria database. Energies are from PBE.

Unit cell a=4.612 b=4.612 c=4.612 alpha=60.00 beta=60.00 gamma=60.00
Atoms (fractional coordinates):
I (0.500, 0.500, 0.500)
Mo (0.250, 0.250, 0.250)
Mo (0.750, 0.750, 0.750)
Cl (0.000, 0.000, 0.000)

Output
Fermi-level density of states	4.54	states/eV/f.u.


Which structure loses on stability? x does.